Th6FeSb3 | PBE | optimized geometry Values from VASP.

Quantum ESPRESSO input file:
```
&SYSTEM
  ibrav = 0, nat = 20, ntyp = 3
/
ATOMIC_SPECIES
Th 232.04 Th.upf
Fe 55.84 Fe.upf
Sb 121.76 Sb.upf
CELL_PARAMETERS angstrom
-2.735 5.753 -3.876
-8.796 -2.973 1.794
1.856 5.772 7.258
ATOMIC_POSITIONS crystal
Th 0.179 0.695 0.619
Th 0.679 0.619 0.695
Th 0.164 0.398 0.913
Th 0.664 0.913 0.398
Th 0.237 0.012 0.988
Th 0.702 0.235 0.765
Th 0.202 0.765 0.235
Th 0.737 0.988 0.012
Th 0.164 0.087 0.602
Th 0.664 0.602 0.087
Th 0.179 0.381 0.305
Th 0.679 0.305 0.381
Fe 0.000 0.139 0.861
Fe 0.500 0.861 0.139
Sb 0.497 0.923 0.710
Sb 0.997 0.710 0.923
Sb 0.366 0.388 0.612
Sb 0.866 0.612 0.388
Sb 0.997 0.077 0.290
Sb 0.497 0.290 0.077
```

Computed properties:
**ΔE_f (raw)**: -274 meV/atom
**Raw total energy**: -136.19 eV for the cell shown